{"formula": "PmAlCd", "functional": "GGA-PBE", "state": "optimized geometry", "cell": [[4.384, 0.000, 1.819], [2.027, 5.565, 1.308], [0.074, 0.041, 6.014]], "species": ["Al", "Cd", "Pm", "Al", "Pm", "Cd"], "fractional_positions": [[0.157, 0.377, 0.309], [0.829, 0.223, 0.119], [0.532, 0.217, 0.720], [0.843, 0.623, 0.691], [0.468, 0.783, 0.280], [0.171, 0.777, 0.881]], "spacegroup": "C2/m (12)", "de_polymorph_ev_per_fu": 0.00, "ef_ev_per_atom": -0.3964, "n_ef_per_ev_cell": 4.27}